This record from Alexandria via LeMat-Bulk describes a relaxed structure of PmBi2Au6. The functional is PBE.

abc: 8.838 8.838 5.972
angles: 95.35 95.35 116.17
Element x y z (fractional)
Pm (0.176, 0.824, 0.750)
Pm (0.824, 0.176, 0.250)
Bi (0.255, 0.435, 0.044)
Bi (0.435, 0.255, 0.544)
Bi (0.565, 0.745, 0.456)
Bi (0.745, 0.565, 0.956)
Au (0.070, 0.621, 0.220)
Au (0.080, 0.156, 0.639)
Au (0.156, 0.080, 0.139)
Au (0.224, 0.502, 0.552)
Au (0.379, 0.930, 0.280)
Au (0.498, 0.776, 0.948)
Au (0.502, 0.224, 0.052)
Au (0.621, 0.070, 0.720)
Au (0.776, 0.498, 0.448)
Au (0.844, 0.920, 0.861)
Au (0.920, 0.844, 0.361)
Au (0.930, 0.379, 0.780)

Results
The space group is No. 15. The formation energy is -2.6 eV per formula unit. The total moment is 0.000 Bohr magnetons per cell.